Compound: TaFe2Pt
Source: the Alexandria database
Functional: GGA-PBE
Structure: relaxed

Results
Mass density in Mg/m³: 13.8
E_tot in eV/atom: -8.6315
ΔH_f (0 K) in eV per atom: 0.073
N(E_F) in states/eV/cell: 4.08

Structure (CIF):
```
data_TaFe2Pt
_cell_length_a 9.131
_cell_length_b 9.131
_cell_length_c 9.131
_cell_angle_alpha 17.32
_cell_angle_beta 17.32
_cell_angle_gamma 17.32
_space_group_name_H-M_alt 'P 1'
_space_group_IT_number 1
loop_
_space_group_symop_operation_xyz
'x,y,z'
loop_
_atom_site_label
_atom_site_fract_x
_atom_site_fract_y
_atom_site_fract_z
_atom_site_occupancy
Fe1 0.998 0.998 0.998 1
Fe2 0.502 0.502 0.502 1
Pt1 0.250 0.250 0.250 1
Ta1 0.750 0.750 0.750 1
```

---

Compound: TaFe3Pt4
Source: the Alexandria database
Functional: GGA-PBE
Structure: relaxed

Results
Mass density in Mg/m³: 15.4
E_tot in eV/atom: -7.7462
ΔH_f (0 K) in eV per atom: -0.071
N(E_F) in states/eV/cell: 7.13

Structure (CIF):
```
data_TaFe3Pt4
_cell_length_a 2.814
_cell_length_b 3.904
_cell_length_c 11.312
_cell_angle_alpha 99.92
_cell_angle_beta 97.15
_cell_angle_gamma 90.00
_space_group_name_H-M_alt 'P 1'
_space_group_IT_number 1
loop_
_space_group_symop_operation_xyz
'x,y,z'
loop_
_atom_site_label
_atom_site_fract_x
_atom_site_fract_y
_atom_site_fract_z
_atom_site_occupancy
Fe1 0.000 0.500 0.000 1
Fe2 0.158 0.159 0.317 1
Fe3 0.842 0.841 0.683 1
Pt1 0.404 0.404 0.808 1
Pt2 0.596 0.596 0.192 1
Pt3 0.717 0.717 0.434 1
Pt4 0.283 0.283 0.566 1
Ta1 0.500 0.000 0.000 1
```

---

Compound: TaFePt4
Source: the Alexandria database
Functional: GGA-PBE
Structure: relaxed

Results
Mass density in Mg/m³: 17.0
E_tot in eV/atom: -7.4774
ΔH_f (0 K) in eV per atom: -0.064
N(E_F) in states/eV/cell: 6.04

Structure (CIF):
```
data_TaFePt4
_cell_length_a 5.195
_cell_length_b 5.195
_cell_length_c 5.195
_cell_angle_alpha 60.00
_cell_angle_beta 60.00
_cell_angle_gamma 60.00
_space_group_name_H-M_alt 'P 1'
_space_group_IT_number 1
loop_
_space_group_symop_operation_xyz
'x,y,z'
loop_
_atom_site_label
_atom_site_fract_x
_atom_site_fract_y
_atom_site_fract_z
_atom_site_occupancy
Ta1 0.750 0.750 0.750 1
Fe1 0.000 0.000 0.000 1
Pt1 0.876 0.375 0.375 1
Pt2 0.375 0.375 0.876 1
Pt3 0.375 0.876 0.375 1
Pt4 0.375 0.375 0.375 1
```

---

Compound: TaFe2Pt
Source: the Alexandria database
Functional: GGA-PBE
Structure: relaxed

Results
Mass density in Mg/m³: 13.9
E_tot in eV/atom: -8.8649
ΔH_f (0 K) in eV per atom: -0.160
N(E_F) in states/eV/cell: 4.91

Structure (CIF):
```
data_TaFe2Pt
_cell_length_a 4.349
_cell_length_b 4.349
_cell_length_c 4.349
_cell_angle_alpha 60.00
_cell_angle_beta 60.00
_cell_angle_gamma 60.00
_space_group_name_H-M_alt 'P 1'
_space_group_IT_number 1
loop_
_space_group_symop_operation_xyz
'x,y,z'
loop_
_atom_site_label
_atom_site_fract_x
_atom_site_fract_y
_atom_site_fract_z
_atom_site_occupancy
Fe1 0.000 0.000 0.000 1
Fe2 0.250 0.250 0.250 1
Pt1 0.500 0.500 0.500 1
Ta1 0.750 0.750 0.750 1
```

---

Compound: TaFe2Pt
Source: the Alexandria database
Functional: GGA-PBE
Structure: relaxed

Results
Mass density in Mg/m³: 14.1
E_tot in eV/atom: -8.9274
ΔH_f (0 K) in eV per atom: -0.223
N(E_F) in states/eV/cell: 3.52

Structure (CIF):
```
data_TaFe2Pt
_cell_length_a 3.180
_cell_length_b 3.252
_cell_length_c 6.431
_cell_angle_alpha 59.62
_cell_angle_beta 90.00
_cell_angle_gamma 90.00
_space_group_name_H-M_alt 'P 1'
_space_group_IT_number 1
loop_
_space_group_symop_operation_xyz
'x,y,z'
loop_
_atom_site_label
_atom_site_fract_x
_atom_site_fract_y
_atom_site_fract_z
_atom_site_occupancy
Fe1 0.000 0.987 0.013 1
Fe2 0.500 0.270 0.230 1
Pt1 0.000 0.509 0.491 1
Ta1 0.500 0.734 0.766 1
```

---

Compound: TaFe4Pt
Source: the Alexandria database
Functional: GGA-PBE
Structure: relaxed

Results
Mass density in Mg/m³: 13.0
E_tot in eV/atom: -8.8766
ΔH_f (0 K) in eV per atom: -0.253
N(E_F) in states/eV/cell: 5.75

Structure (CIF):
```
data_TaFe4Pt
_cell_length_a 4.767
_cell_length_b 4.767
_cell_length_c 4.767
_cell_angle_alpha 60.00
_cell_angle_beta 60.00
_cell_angle_gamma 60.00
_space_group_name_H-M_alt 'P 1'
_space_group_IT_number 1
loop_
_space_group_symop_operation_xyz
'x,y,z'
loop_
_atom_site_label
_atom_site_fract_x
_atom_site_fract_y
_atom_site_fract_z
_atom_site_occupancy
Fe1 0.375 0.375 0.375 1
Fe2 0.375 0.875 0.375 1
Fe3 0.375 0.375 0.875 1
Fe4 0.875 0.375 0.375 1
Pt1 0.750 0.750 0.750 1
Ta1 0.000 0.000 0.000 1
```

---

What is the formula in the sixth record? TaFe4Pt

---

ΔH_f (0 K) of number 3 (TaFePt4)? -0.064 eV per atom